Entry 1:
# PBE Pm6NdPb6, optimized geometry
# **Calculated total energy**: -4.582 eV/atom
data_Pm6NdPb6
_cell_length_a 7.4073
_cell_length_b 7.4073
_cell_length_c 9.4552
_cell_angle_alpha 90.00
_cell_angle_beta 90.00
_cell_angle_gamma 120.00
_symmetry_space_group_name_H-M 'P 6/m m m'
_symmetry_Int_Tables_number 191
_symmetry_space_group_name_Hall '-P 6 2'
loop_
_atom_site_label
_atom_site_type_symbol
_atom_site_fract_x
_atom_site_fract_y
_atom_site_fract_z
_atom_site_occupancy
Pm1 Pm 0.0000 0.5000 0.2475 1
Nd1 Nd 0.0000 0.0000 0.5000 1
Pb1 Pb 0.0000 0.0000 0.1635 1
Pb2 Pb 0.3333 0.6667 0.0000 1
Pb3 Pb 0.3333 0.6667 0.5000 1

=====

Entry 2:
# PBE Sc3AlCu, optimized geometry
# **Offset from the most stable computed form**: 0.407 eV per atom
data_Sc3AlCu
_cell_length_a 4.9040
_cell_length_b 4.9040
_cell_length_c 4.9040
_cell_angle_alpha 90.00
_cell_angle_beta 90.00
_cell_angle_gamma 90.00
_symmetry_space_group_name_H-M 'P m -3 m'
_symmetry_Int_Tables_number 221
_symmetry_space_group_name_Hall '-P 4 2 3'
loop_
_atom_site_label
_atom_site_type_symbol
_atom_site_fract_x
_atom_site_fract_y
_atom_site_fract_z
_atom_site_occupancy
Sc1 Sc 0.0000 0.0000 0.5000 1
Al1 Al 0.5000 0.5000 0.5000 1
Cu1 Cu 0.0000 0.0000 0.0000 1

=====

The evaluated DOS(E_F) for the records listed, in turn: 1.087, 1.828 states/eV per atom.